No. 1
The following is a DFT calculation (PBE-GGA) of a relaxed structure of RbCaBe3.

The value obtained for the total energy is -6.5 eV per cell. The energy of formation from the pure elements comes out at 1.524 eV/atom. The value obtained for the density is 1.4 g/cm3.

abc: 5.636 5.636 5.636
angles: 90.00 90.00 90.00
Space group Pm-3m (No. 221)
Asymmetric unit:
Rb: 0.000 0.000 0.000
Ca: 0.500 0.500 0.500
Be: 0.000 0.500 0.500

---

No. 2
The following is a DFT calculation (PBE-GGA) of a relaxed structure of RbCa3Be.

The value obtained for the total energy is -9.2 eV per cell. The energy of formation from the pure elements comes out at 0.309 eV/atom. The value obtained for the density is 1.7 g/cm3.

abc: 5.904 5.904 5.904
angles: 90.00 90.00 90.00
Space group Pm-3m (No. 221)
Asymmetric unit:
Rb: 0.000 0.000 0.000
Ca: 0.000 0.500 0.500
Be: 0.500 0.500 0.500

---

No. 3
The following is a DFT calculation (PBE-GGA) of a relaxed structure of RbCaBe3.

The value obtained for the total energy is -4.7 eV per cell. The energy of formation from the pure elements comes out at 1.886 eV/atom. The value obtained for the density is 1.7 g/cm3.

abc: 5.348 5.348 5.348
angles: 90.00 90.00 90.00
Space group Pm-3m (No. 221)
Asymmetric unit:
Rb: 0.000 0.000 0.000
Ca: 0.500 0.500 0.500
Be: 0.000 0.000 0.500

---

No. 4
The following is a DFT calculation (PBE-GGA) of a relaxed structure of Rb2CaBe.

The value obtained for the total energy is -19.7 eV per cell. The energy of formation from the pure elements comes out at 0.682 eV/atom. The value obtained for the density is 1.6 g/cm3.

abc: 12.639 12.639 5.867
angles: 90.00 90.00 90.00
Space group I-42d (No. 122)
Asymmetric unit:
Rb: 0.112 0.250 0.125
Ca: 0.000 0.000 0.500
Be: 0.000 0.000 0.000

---

No. 5
The following is a DFT calculation (PBE-GGA) of a relaxed structure of RbCa3Be.

The value obtained for the total energy is -2.8 eV per cell. The energy of formation from the pure elements comes out at 1.573 eV/atom. The value obtained for the density is 1.6 g/cm3.

abc: 6.095 6.095 6.095
angles: 90.00 90.00 90.00
Space group Pm-3m (No. 221)
Asymmetric unit:
Rb: 0.000 0.000 0.000
Ca: 0.000 0.000 0.500
Be: 0.500 0.500 0.500

---

No. 6
The following is a DFT calculation (PBE-GGA) of a relaxed structure of Rb3CaBe.

The value obtained for the total energy is -5.3 eV per cell. The energy of formation from the pure elements comes out at 0.672 eV/atom. The value obtained for the density is 1.6 g/cm3.

abc: 6.810 6.810 6.810
angles: 90.00 90.00 90.00
Space group Pm-3m (No. 221)
Asymmetric unit:
Rb: 0.000 0.000 0.500
Ca: 0.500 0.500 0.500
Be: 0.000 0.000 0.000

---

No. 7
The following is a DFT calculation (PBE-GGA) of a relaxed structure of RbCa2Be.

The value obtained for the total energy is -24.4 eV per cell. The energy of formation from the pure elements comes out at 0.649 eV/atom. The value obtained for the density is 1.3 g/cm3.

abc: 8.642 8.642 12.344
angles: 90.00 90.00 90.00
Space group I4_1/amd (No. 141, origin choice 2)
Asymmetric unit:
Rb: 0.000 0.250 0.375
Ca: 0.000 0.000 0.000
Be: 0.000 0.250 0.875

---

No. 8
The following is a DFT calculation (PBE-GGA) of a relaxed structure of RbCaBeSe2.

The value obtained for the total energy is -36.3 eV per cell. The value obtained for the density is 3.1 g/cm3.

abc: 7.905 4.830 8.469
angles: 90.00 100.91 90.00
Space group P2/c (No. 13)
Asymmetric unit:
Rb: 0.000 0.216 0.250
Ca: 0.500 0.488 0.750
Be: 0.500 0.000 0.000
Se: 0.284 0.262 0.965